## ZrTc2Ag (GGA-PBEsol)

Data for a geometry-optimized ZrTc2Ag structure.

Properties
The relative energy among the computed polymorphs is 0 meV/atom. As for the formation energy: 51 kJ/mol of formula units. Its space-group type is Imm2, No. 44.

a b c (Å): 3.741 4.342 4.918
angles (deg): 116.20 112.35 90.00
Sites, in units of the cell vectors:
Ag1 0.257 0.757 0.513
Tc1 0.023 0.023 0.045
Tc2 0.733 0.233 0.466
Zr1 0.488 0.488 0.975

=====

## Ag2Te (GGA-PBEsol)

Data for a geometry-optimized Ag2Te structure.

Properties
The energy relative to the elements, uncorrected comes out at -0.0366 eV per atom. Its space-group type is P2_1/c, No. 14.

a b c (Å): 4.393 7.834 8.140
angles (deg): 111.56 90.00 90.00
Sites, in units of the cell vectors:
Te1 0.359 0.758 0.035
Te2 0.859 0.742 0.465
Te3 0.641 0.242 0.965
Te4 0.141 0.258 0.535
Ag1 0.375 0.624 0.658
Ag2 0.875 0.876 0.842
Ag3 0.625 0.376 0.342
Ag4 0.125 0.124 0.158
Ag5 0.640 0.014 0.345
Ag6 0.140 0.486 0.155
Ag7 0.360 0.986 0.655
Ag8 0.860 0.514 0.845

=====

## AgTe (GGA-PBEsol)

Data for a geometry-optimized AgTe structure.

Properties
The energy relative to the elements, uncorrected comes out at 0.0069 eV per atom. Its space-group type is Cmcm, No. 63.

a b c (Å): 3.099 4.253 7.337
angles (deg): 90.00 102.19 90.00
Sites, in units of the cell vectors:
Te1 0.099 0.250 0.198
Te2 0.901 0.750 0.802
Ag1 0.300 0.250 0.599
Ag2 0.700 0.750 0.401

=====

## AgTe (GGA-PBEsol)

Data for a geometry-optimized AgTe structure.

Properties
The energy relative to the elements, uncorrected comes out at 0.0220 eV per atom. Its space-group type is Pmmn, No. 59.

a b c (Å): 3.084 4.222 7.349
angles (deg): 90.00 90.00 90.00
Sites, in units of the cell vectors:
Te1 0.000 0.000 0.205
Te2 0.500 0.500 0.795
Ag1 0.000 0.000 0.597
Ag2 0.500 0.500 0.403